A relaxed structure of HgPd2N. Source: Alexandria via LeMat-Bulk, functional PBE-GGA.

Values from the calculation:
The uncorrected formation energy comes out at 0.462 eV per atom. For the energy above the most stable polymorph in this dataset, the calculation gives 0.0 kJ/mol of atoms. The value obtained for the total energy is -4.291 eV per atom.

Lattice parameters (Å, degrees): 5.1608 5.1608 6.8569 67.89 67.89 90.00
Sites, in units of the cell vectors:
N (0.2500, 0.7500, 0.5000)
N (0.5000, 0.5000, 0.0000)
Pd (0.4526, 0.1250, 0.2500)
Pd (0.8750, 0.7026, 0.7500)
Pd (0.3750, 0.5474, 0.7500)
Pd (0.2974, 0.6250, 0.2500)
Hg (0.7500, 0.2500, 0.5000)
Hg (0.0000, 0.0000, 0.0000)

=====

A relaxed structure of La3Ge2Rh6. Source: Alexandria via LeMat-Bulk, functional PBE-GGA.

Values from the calculation:
The formation energy from the elements is -0.6884 eV per atom. The value obtained for the total energy is -6.882 eV per atom.

Lattice parameters (Å, degrees): 8.2024 8.2024 8.2024 109.47 109.47 109.47
Sites, in units of the cell vectors:
La (0.2855, 0.2855, 0.0000)
La (0.0000, 0.2855, 0.2855)
La (0.7145, 0.7145, 0.0000)
La (0.0000, 0.7145, 0.7145)
La (0.2855, 0.0000, 0.2855)
La (0.7145, 0.0000, 0.7145)
Ge (0.0000, 0.5000, 0.0000)
Ge (0.0000, 0.0000, 0.5000)
Ge (0.5000, 0.0000, 0.0000)
Ge (0.5000, 0.5000, 0.5000)
Rh (0.3458, 0.3458, 0.6917)
Rh (0.6917, 0.3458, 0.3458)
Rh (0.3458, 0.6917, 0.3458)
Rh (0.3458, 0.6542, 0.0000)
Rh (0.3458, 0.0000, 0.6542)
Rh (0.6542, 0.6542, 0.3083)
Rh (0.0000, 0.3458, 0.6542)
Rh (0.6542, 0.3458, 0.0000)
Rh (0.6542, 0.3083, 0.6542)
Rh (0.6542, 0.0000, 0.3458)
Rh (0.3083, 0.6542, 0.6542)
Rh (0.0000, 0.6542, 0.3458)

=====

A relaxed structure of LiPm3Ge6Pt2. Source: Alexandria via LeMat-Bulk, functional PBE-GGA.

Values from the calculation:
The formation energy from the elements is -0.4834 eV per atom. The value obtained for the total energy is -5.146 eV per atom.

Lattice parameters (Å, degrees): 5.9864 5.9864 8.1290 90.00 90.00 120.00
Sites, in units of the cell vectors:
Pt (0.3333, 0.6667, 0.0317)
Pt (0.6667, 0.3333, 0.9683)
Pm (0.3333, 0.6667, 0.6400)
Pm (0.6667, 0.3333, 0.3600)
Pm (0.0000, 0.0000, 0.0000)
Li (0.0000, 0.0000, 0.5000)
Ge (0.1881, 0.3763, 0.2899)
Ge (0.1881, 0.8119, 0.2899)
Ge (0.8119, 0.1881, 0.7101)
Ge (0.8119, 0.6237, 0.7101)
Ge (0.3763, 0.1881, 0.7101)
Ge (0.6237, 0.8119, 0.2899)